Record 1
Density functional theory data (PBE) for a relaxed HoErGa4Ag2 crystal.

Values from the calculation:
- VASP energy: -3.825 eV/atom

Cell lengths 6.616, 4.512, 10.452 Å; angles 90.00, 90.00, 90.00 degrees
Element x y z (fractional)
Ho1 0.000 0.000 0.000
Ho2 0.000 0.500 0.500
Er1 0.500 0.000 0.816
Er2 0.500 0.500 0.316
Ga1 0.200 0.000 0.290
Ga2 0.200 0.500 0.790
Ga3 0.301 0.000 0.526
Ga4 0.301 0.500 0.026
Ga5 0.699 0.000 0.526
Ga6 0.699 0.500 0.026
Ga7 0.800 0.000 0.290
Ga8 0.800 0.500 0.790
Ag1 0.000 0.000 0.708
Ag2 0.000 0.500 0.208
Ag3 0.500 0.000 0.108
Ag4 0.500 0.500 0.608

Record 2
Density functional theory data (PBE) for a relaxed HoEr2Ga3AgPd2 crystal.

Values from the calculation:
- VASP energy: -4.749 eV/atom

Cell lengths 3.666, 7.529, 7.529 Å; angles 120.04, 90.00, 90.00 degrees
Element x y z (fractional)
Ho1 0.000 0.000 0.000
Er1 0.000 0.407 0.815
Er2 0.000 0.815 0.407
Ga1 0.500 0.136 0.408
Ga2 0.500 0.408 0.136
Ga3 0.500 0.678 0.678
Ag1 0.000 0.408 0.408
Pd1 0.500 0.074 0.740
Pd2 0.500 0.740 0.074

Record 3
Density functional theory data (PBE) for a relaxed Ho2ErGa3AgPt2 crystal.

Values from the calculation:
- VASP energy: -5.091 eV/atom

Cell lengths 3.694, 7.497, 7.497 Å; angles 119.94, 90.00, 90.00 degrees
Element x y z (fractional)
Ho1 0.000 0.204 0.796
Ho2 0.000 0.796 0.204
Er1 0.000 0.388 0.388
Ga1 0.500 0.067 0.067
Ga2 0.500 0.525 0.796
Ga3 0.500 0.796 0.525
Ag1 0.000 0.796 0.796
Pt1 0.500 0.130 0.462
Pt2 0.500 0.462 0.130

Record 4
Density functional theory data (PBE) for a relaxed Tb2ErGa3AgIr2 crystal.

Values from the calculation:
- VASP energy: -5.540 eV/atom

Cell lengths 3.868, 7.297, 7.297 Å; angles 119.61, 90.00, 90.00 degrees
Element x y z (fractional)
Tb1 0.000 0.205 0.795
Tb2 0.000 0.795 0.205
Er1 0.000 0.616 0.616
Ga1 0.500 0.207 0.477
Ga2 0.500 0.477 0.207
Ga3 0.500 0.933 0.933
Ag1 0.000 0.207 0.207
Ir1 0.500 0.540 0.869
Ir2 0.500 0.869 0.540

Record 5
Density functional theory data (PBE) for a relaxed Er2TmGa3AgIr2 crystal.

Values from the calculation:
- VASP energy: -5.529 eV/atom

Cell lengths 3.806, 7.287, 7.287 Å; angles 119.83, 90.00, 90.00 degrees
Element x y z (fractional)
Er1 0.000 0.205 0.795
Er2 0.000 0.795 0.205
Tm1 0.000 0.386 0.386
Ga1 0.500 0.068 0.068
Ga2 0.500 0.523 0.795
Ga3 0.500 0.795 0.523
Ag1 0.000 0.795 0.795
Ir1 0.500 0.130 0.462
Ir2 0.500 0.462 0.130

Record 6
Density functional theory data (PBE) for a relaxed ErTm2Ga3AgIr2 crystal.

Values from the calculation:
- VASP energy: -5.520 eV/atom

Cell lengths 3.763, 7.327, 7.327 Å; angles 120.11, 90.00, 90.00 degrees
Element x y z (fractional)
Er1 0.000 0.000 0.000
Tm1 0.000 0.182 0.591
Tm2 0.000 0.591 0.182
Ga1 0.500 0.317 0.317
Ga2 0.500 0.591 0.864
Ga3 0.500 0.864 0.591
Ag1 0.000 0.590 0.590
Ir1 0.500 0.258 0.924
Ir2 0.500 0.924 0.258

Record 7
Density functional theory data (PBE) for a relaxed Y2ErGa3AgIr2 crystal.

Values from the calculation:
- VASP energy: -5.946 eV/atom

Cell lengths 3.866, 7.278, 7.278 Å; angles 119.34, 90.00, 90.00 degrees
Element x y z (fractional)
Y1 0.000 0.205 0.795
Y2 0.000 0.795 0.205
Er1 0.000 0.615 0.615
Ga1 0.500 0.204 0.476
Ga2 0.500 0.476 0.204
Ga3 0.500 0.935 0.935
Ag1 0.000 0.209 0.209
Ir1 0.500 0.539 0.866
Ir2 0.500 0.866 0.539

Record 8
Density functional theory data (PBE) for a relaxed ErLuGa2Ag2 crystal.

Values from the calculation:
- VASP energy: -3.955 eV/atom

Cell lengths 4.562, 4.562, 6.888 Å; angles 90.00, 90.00, 120.00 degrees
Element x y z (fractional)
Er1 0.000 0.000 0.000
Lu1 0.000 0.000 0.500
Ga1 0.333 0.667 0.219
Ga2 0.333 0.667 0.781
Ag1 0.667 0.333 0.266
Ag2 0.667 0.333 0.734

Record 9
Density functional theory data (PBE) for a relaxed ErLuGa2Ag2 crystal.

Values from the calculation:
- VASP energy: -3.954 eV/atom

Cell lengths 4.557, 4.557, 6.904 Å; angles 90.00, 90.00, 120.00 degrees
Element x y z (fractional)
Er1 0.000 0.000 0.000
Lu1 0.000 0.000 0.500
Ga1 0.333 0.667 0.285
Ga2 0.333 0.667 0.715
Ag1 0.667 0.333 0.239
Ag2 0.667 0.333 0.761

Record 10
Density functional theory data (PBE) for a relaxed Er2Ga4NiAg crystal.

Values from the calculation:
- VASP energy: -4.236 eV/atom

Cell lengths 6.597, 4.339, 10.087 Å; angles 90.00, 90.00, 90.00 degrees
Element x y z (fractional)
Er1 0.000 0.000 0.000
Er2 0.000 0.500 0.500
Er3 0.500 0.000 0.167
Er4 0.500 0.500 0.667
Ga1 0.209 0.000 0.716
Ga2 0.209 0.500 0.216
Ga3 0.311 0.000 0.459
Ga4 0.311 0.500 0.959
Ga5 0.689 0.000 0.459
Ga6 0.689 0.500 0.959
Ga7 0.791 0.000 0.716
Ga8 0.791 0.500 0.216
Ni1 0.500 0.000 0.883
Ni2 0.500 0.500 0.383
Ag1 0.000 0.000 0.289
Ag2 0.000 0.500 0.789

Record 11
Density functional theory data (PBE) for a relaxed ErGaAg2O4 crystal.

Values from the calculation:
- VASP energy: -5.810 eV/atom

Cell lengths 3.218, 3.218, 12.555 Å; angles 90.00, 90.00, 120.00 degrees
Element x y z (fractional)
Er1 0.000 0.000 0.000
Ga1 0.000 0.000 0.500
Ag1 0.333 0.667 0.742
Ag2 0.667 0.333 0.258
O1 0.333 0.667 0.575
O2 0.333 0.667 0.908
O3 0.667 0.333 0.092
O4 0.667 0.333 0.425

Record 12
Density functional theory data (PBE) for a relaxed Er2Ga4AgPd crystal.

Values from the calculation:
- VASP energy: -4.284 eV/atom

Cell lengths 6.613, 4.459, 10.208 Å; angles 90.00, 90.00, 90.00 degrees
Element x y z (fractional)
Er1 0.000 0.000 0.000
Er2 0.000 0.500 0.500
Er3 0.500 0.000 0.176
Er4 0.500 0.500 0.676
Ga1 0.203 0.000 0.714
Ga2 0.203 0.500 0.214
Ga3 0.305 0.000 0.466
Ga4 0.305 0.500 0.966
Ga5 0.695 0.000 0.466
Ga6 0.695 0.500 0.966
Ga7 0.797 0.000 0.714
Ga8 0.797 0.500 0.214
Ag1 0.000 0.000 0.291
Ag2 0.000 0.500 0.791
Pd1 0.500 0.000 0.888
Pd2 0.500 0.500 0.388